[1]
An optimized crystal structure of RbLiAu3, computed with PBE.

Geometry as POSCAR:
```
RbLiAu3
1.0
4.970 0.000 0.000
0.000 4.970 0.000
0.000 0.000 4.970
Au Rb Li
3 1 1
direct
0.000 0.500 0.000 Au
0.000 0.000 0.500 Au
0.500 0.000 0.000 Au
0.500 0.500 0.500 Rb
0.000 0.000 0.000 Li
```

Properties
- SG = No. 221
- spin magnetization (Bohr magnetons per cell) = 0.00
- energy of formation (kcal/mol of atoms) = -0.663
- DOS(E_F) (states/eV/cell) = 1.8
- raw total energy (eV/atom) = -2.571


[2]
An optimized crystal structure of Rb2LiAu2, computed with PBE.

Geometry as POSCAR:
```
Rb2LiAu2
1.0
6.241 0.000 0.000
0.000 6.241 0.000
3.121 3.121 5.621
Au Rb Li
2 2 1
direct
0.750 0.250 0.500 Au
0.250 0.750 0.500 Au
0.345 0.345 0.310 Rb
0.655 0.655 0.690 Rb
0.000 0.000 0.000 Li
```

Properties
- SG = No. 139
- spin magnetization (Bohr magnetons per cell) = 0.00
- energy of formation (kcal/mol of atoms) = 2.796
- DOS(E_F) (states/eV/cell) = 2.4
- raw total energy (eV/atom) = -1.959


[3]
An optimized crystal structure of RbLiAu2, computed with PBE.

Geometry as POSCAR:
```
RbLiAu2
1.0
5.399 0.000 0.000
0.000 5.399 0.000
2.700 2.700 8.832
Au Rb Li
4 2 2
direct
0.375 0.125 0.250 Au
0.375 0.625 0.250 Au
0.375 0.625 0.750 Au
0.875 0.625 0.750 Au
0.000 0.000 0.000 Rb
0.750 0.250 0.500 Rb
0.500 0.500 0.000 Li
0.250 0.750 0.500 Li
```

Properties
- SG = No. 141
- spin magnetization (Bohr magnetons per cell) = 0.00
- energy of formation (kcal/mol of atoms) = -6.530
- DOS(E_F) (states/eV/cell) = 2.5
- raw total energy (eV/atom) = -2.642


[4]
An optimized crystal structure of RbLiAuS2, computed with PBE.

Geometry as POSCAR:
```
RbLiAuS2
1.0
-4.736 -2.138 -3.017
2.195 -5.154 0.208
-4.501 1.377 6.090
Rb Li Au S
2 2 2 4
direct
0.236 0.750 0.500 Rb
0.764 0.250 0.500 Rb
0.500 0.750 0.000 Li
0.500 0.250 0.000 Li
0.000 0.000 0.000 Au
0.000 0.500 0.000 Au
0.713 0.890 0.780 S
0.713 0.610 0.220 S
0.287 0.390 0.780 S
0.287 0.110 0.220 S
```

Properties
- SG = No. 67
- spin magnetization (Bohr magnetons per cell) = 0.00
- formation energy (no corrections) (eV/atom) = -0.725
- DOS(E_F) (states/eV/cell) = 9.5
- raw total energy (eV/atom) = -3.608


Which value of DOS(E_F) does entry 1 give?
1.8 states/eV/cell


DOS(E_F) of number 3 (RbLiAu2)?
2.5 states/eV/cell


Which of these has the lowest DOS(E_F)?
RbLiAu3


DOS(E_F) of number 4 (RbLiAuS2)?
9.5 states/eV/cell